Tm3ZrSb4: relaxed, PBE.

Computed properties:
magnetic moment: 0.000 μB per formula unit
formation energy (no corrections): -90.9 kJ/mol of atoms
crystal system: orthorhombic
D(E_F): 2.9 states/eV/cell

abc: 8.5782 12.0877 4.2722
angles: 90.00 90.00 90.00
Space group Cmmm (No. 65)
Asymmetric unit:
Tm: 0.0000 0.0000 0.0000 [2 per cell]
Tm: 0.2500 0.2500 0.5000 [4 per cell]
Zr: 0.0000 0.5000 0.0000 [2 per cell]
Sb: 0.0000 0.2537 0.0000 [4 per cell]
Sb: 0.2430 0.5000 0.5000 [4 per cell]

***

CaRu2Pb2: relaxed, PBE.

Computed properties:
magnetic moment: 0.000 μB per formula unit
crystal system: tetragonal
D(E_F): 5.0 states/eV/cell
ΔE to the lowest computed polymorph: 38 meV/atom

abc: 4.5986 4.5986 11.3292
angles: 90.00 90.00 90.00
Space group I4/mmm (No. 139)
Asymmetric unit:
Ca: 0.0000 0.0000 0.0000 [2 per cell]
Ru: 0.0000 0.5000 0.2500 [4 per cell]
Pb: 0.0000 0.0000 0.3683 [4 per cell]

***

ZrAlCrIr: relaxed, PBE.

Computed properties:
VASP energy: -130.7 eV/cell
magnetic moment: 2.069 μB per formula unit
crystal system: cubic
D(E_F): 18.9 states/eV/cell

abc: 6.3232 6.3232 6.3232
angles: 90.00 90.00 90.00
Space group F-43m (No. 216)
Asymmetric unit:
Zr: 0.0000 0.0000 0.0000 [4 per cell]
Al: 0.0000 0.0000 0.5000 [4 per cell]
Cr: 0.2500 0.2500 0.7500 [4 per cell]
Ir: 0.2500 0.2500 0.2500 [4 per cell]